1.
An optimized crystal structure of Np2NiSe3, computed with GGA-PBE.

a = 10.6230 Å, b = 3.9374 Å, c = 12.6381 Å
α = 90.00°, β = 90.00°, γ = 90.00°
Last column: nearest neighbours and their distance in Å.
Space group Pnma (No. 62)
One atom of each set of equivalent atoms:
Np 0.0179 0.2500 0.2317  6 Se 2.84-2.88
Np 0.2081 0.7500 0.4988  7 Se 2.94-3.08
Ni 0.2317 0.2500 0.7241  4 Se 2.39-2.40
Se 0.0500 0.2500 0.6117  1 Ni 2.40
Se 0.1108 0.7500 0.0890  1 Ni 2.39
Se 0.2424 0.7500 0.8311  2 Ni 2.39

## Properties
- calculated total energy (eV/atom) = -7.9671
- Fermi-level density of states (states/eV/f.u.) = 18.24

2.
An optimized crystal structure of Nd2Ho5Tm2, computed with GGA-PBE.

a = 21.6014 Å, b = 3.4770 Å, c = 8.1655 Å
α = 90.00°, β = 99.90°, γ = 90.00°
Last column: nearest neighbours and their distance in Å.
Space group C2/m (No. 12)
One atom of each set of equivalent atoms:
Nd 0.1802 0.0000 0.1443  2 Nd 3.48, 5 Ho 3.50-3.87
Ho 0.0000 0.0000 0.0000  4 Ho 3.24-3.48, 4 Tm 3.39
Ho 0.0946 0.0000 0.7317  5 Ho 3.24-3.48, 4 Tm 3.48-3.52, 1 Nd 3.55
Ho 0.1905 0.5000 0.5319  1 Tm 3.19, 6 Ho 3.22-3.48, 1 Nd 3.50
Tm 0.0469 0.5000 0.3560  7 Ho 3.19-3.52, 3 Tm 3.36-3.48

## Properties
- calculated total energy (eV/atom) = -4.3676
- Fermi-level density of states (states/eV/f.u.) = 13.01

3.
An optimized crystal structure of Zn4AgPt3, computed with GGA-PBE.

a = 2.8909 Å, b = 4.5404 Å, c = 9.1316 Å
α = 90.00°, β = 90.00°, γ = 90.00°
Last column: nearest neighbours and their distance in Å.
Space group Pmmm (No. 47)
One atom of each set of equivalent atoms:
Zn 0.0000 0.0000 0.0000  8 Pt 2.69-2.76, 2 Zn 2.89
Zn 0.0000 0.0000 0.5000  4 Pt 2.65, 4 Ag 2.69, 2 Zn 2.89
Zn 0.0000 0.5000 0.2402  6 Pt 2.63-2.70, 2 Ag 2.78, 2 Zn 2.89
Ag 0.5000 0.5000 0.5000  8 Zn 2.69-2.78, 2 Ag 2.89
Pt 0.5000 0.0000 0.2572  8 Zn 2.65-2.76, 2 Pt 2.89
Pt 0.5000 0.5000 0.0000  8 Zn 2.63-2.69, 2 Pt 2.89

## Properties
- calculated total energy (eV/atom) = -3.6777
- Fermi-level density of states (states/eV/f.u.) = 1.63

4.
An optimized crystal structure of Ir2PbCl, computed with GGA-PBE.

a = 3.0723 Å, b = 3.0723 Å, c = 29.7844 Å
α = 90.00°, β = 90.00°, γ = 120.00°
Last column: nearest neighbours and their distance in Å.
Space group R3m (No. 160, hexagonal axes)
One atom of each set of equivalent atoms:
Ir 0.0000 0.0000 0.0000  3 Ir 2.63
Ir 0.0000 0.0000 0.2682  3 Cl 2.58, 3 Ir 2.63
Pb 0.0000 0.0000 0.7498  3 Ir 3.05, 6 Pb 3.07
Cl 0.0000 0.0000 0.5387  3 Ir 2.58

## Properties
- calculated total energy (eV/atom) = -5.3742
- Fermi-level density of states (states/eV/f.u.) = 3.64

5.
An optimized crystal structure of Co8W, computed with GGA-PBE.

a = 7.5537 Å, b = 7.5537 Å, c = 3.5555 Å
α = 90.00°, β = 90.00°, γ = 90.00°
Last column: nearest neighbours and their distance in Å.
Space group I4/mmm (No. 139)
One atom of each set of equivalent atoms:
Co 0.0000 0.3376 0.0000  11 Co 2.45-2.53, 1 W 2.55
Co 0.1708 0.1708 0.5000  10 Co 2.45-2.58, 2 W 2.55
W 0.0000 0.0000 0.0000  12 Co 2.55

## Properties
- calculated total energy (eV/atom) = -7.7097
- Fermi-level density of states (states/eV/f.u.) = 10.83

6.
An optimized crystal structure of Ti2OsCl2, computed with GGA-PBE.

a = 4.8062 Å, b = 4.8062 Å, c = 7.1753 Å
α = 90.00°, β = 90.00°, γ = 90.00°
Last column: nearest neighbours and their distance in Å.
Space group I4/mmm (No. 139)
One atom of each set of equivalent atoms:
Ti 0.0000 0.5000 0.2500  4 Cl 2.45
Os 0.0000 0.0000 0.0000  2 Cl 2.27
Cl 0.0000 0.0000 0.3167  1 Os 2.27, 4 Ti 2.45

## Properties
- calculated total energy (eV/atom) = -6.0719
- Fermi-level density of states (states/eV/f.u.) = 3.82

7.
An optimized crystal structure of HfCoSe3, computed with GGA-PBE.

a = 3.7012 Å, b = 22.7231 Å, c = 6.1664 Å
α = 90.00°, β = 90.00°, γ = 90.00°
Last column: nearest neighbours and their distance in Å.
Space group Ama2 (No. 40)
One atom of each set of equivalent atoms:
Hf 0.2500 0.1690 0.0000  6 Se 2.61-2.89
Co 0.2500 0.3695 0.8560  4 Se 2.34-2.39
Se 0.2500 0.0752 0.2439  2 Co 2.34, 1 Hf 2.61
Se 0.2500 0.2709 0.7192  1 Co 2.39, 2 Hf 2.67
Se 0.2500 0.3734 0.2361  1 Co 2.35

## Properties
- calculated total energy (eV/atom) = -6.2532
- Fermi-level density of states (states/eV/f.u.) = 3.38

8.
An optimized crystal structure of La2PrGe3Pt4, computed with GGA-PBE.

a = 4.4079 Å, b = 4.4079 Å, c = 11.2894 Å
α = 90.00°, β = 90.00°, γ = 90.00°
Last column: nearest neighbours and their distance in Å.
Space group P-4m2 (No. 115)
One atom of each set of equivalent atoms:
La 0.0000 0.5000 0.2202  8 Pt 3.32-3.37, 4 Ge 3.33
Pr 0.0000 0.0000 0.5000  4 Pt 2.89, 4 Ge 3.12
Ge 0.0000 0.5000 0.8841  5 Pt 2.47-2.56
Ge 0.5000 0.5000 0.5000  4 Pt 2.89, 4 Pr 3.12
Pt 0.0000 0.0000 0.0000  4 Ge 2.56
Pt 0.0000 0.5000 0.6653  1 Ge 2.47
Pt 0.5000 0.5000 0.0000  4 Ge 2.56

## Properties
- calculated total energy (eV/atom) = -6.2118
- Fermi-level density of states (states/eV/f.u.) = 7.16

9.
An optimized crystal structure of Ba6TlH2, computed with GGA-PBE.

a = 15.0311 Å, b = 5.7161 Å, c = 11.4488 Å
α = 90.00°, β = 128.24°, γ = 90.00°
Last column: nearest neighbours and their distance in Å.
Space group C2/m (No. 12)
One atom of each set of equivalent atoms:
Ba 0.0197 0.0000 0.3329  2 H 2.75-2.91
Ba 0.1516 0.5000 0.0340  1 H 2.87
Ba 0.2058 0.5000 0.6578  2 H 2.94
Tl 0.0000 0.0000 0.0000  8 Ba 3.52-3.67
H 0.1579 0.0000 0.6559  5 Ba 2.75-2.94

## Properties
- calculated total energy (eV/atom) = -2.4685
- Fermi-level density of states (states/eV/f.u.) = 8.65